# PBE Ho2Tl2Pb, relaxed
# Size of the total moment: 0.000 μB per atom
# DFT formation energy: -195 meV/atom
data_Ho2Tl2Pb
_chemical_formula_sum 'Ho4 Tl4 Pb2'
_space_group_name_H-M_alt 'P 1 21/m 1'
_space_group_IT_number 11
_space_group_name_Hall '-P 2yb'
_cell_length_a 6.3551
_cell_length_b 4.8153
_cell_length_c 10.1927
_cell_angle_alpha 90.00
_cell_angle_beta 107.13
_cell_angle_gamma 90.00
loop_
_atom_site_label
_atom_site_type_symbol
_atom_site_fract_x
_atom_site_fract_y
_atom_site_fract_z
_atom_site_occupancy
Ho1 Ho 0.0722 0.2500 0.2441 1
Ho2 Ho 0.4271 0.2500 0.6213 1
Tl1 Tl 0.1211 0.7500 0.4504 1
Tl2 Tl 0.4421 0.7500 0.8244 1
Pb1 Pb 0.2154 0.7500 0.0662 1